A relaxed structure of Hf2AlSbN. Source: the Alexandria database, functional GGA-PBE.

Results
Mass density: 7.1 g cm⁻³
Calculated volume: 24.25 Å³ per atom
Space-group type: No. 123
Raw formation energy: 1.80 eV per atom

Geometry as CIF:
```
data_Hf2AlSbN
_symmetry_space_group_name_H-M 'P 1'
_symmetry_Int_Tables_number 1
_cell_length_a 5.0205
_cell_length_b 5.0205
_cell_length_c 4.8102
_cell_angle_alpha 90.00
_cell_angle_beta 90.00
_cell_angle_gamma 90.00
loop_
_symmetry_equiv_pos_as_xyz
'x,y,z'
loop_
_atom_site_label
_atom_site_fract_x
_atom_site_fract_y
_atom_site_fract_z
_atom_site_occupancy
Hf1 0.0000 0.5000 0.0000 1
Hf2 0.5000 0.0000 0.0000 1
Al1 0.0000 0.0000 0.0000 1
Sb1 0.0000 0.0000 0.5000 1
N1 0.5000 0.5000 0.5000 1
```

A relaxed structure of PmGdGaAu. Source: the Alexandria database, functional GGA-PBE.

Results
Mass density: 9.6 g cm⁻³
Calculated volume: 24.68 Å³ per atom
Space-group type: No. 216
Formation enthalpy at 0 K: -0.66 eV/atom

Geometry as CIF:
```
data_PmGdGaAu
_symmetry_space_group_name_H-M 'P 1'
_symmetry_Int_Tables_number 1
_cell_length_a 5.1876
_cell_length_b 5.1876
_cell_length_c 5.1876
_cell_angle_alpha 60.00
_cell_angle_beta 60.00
_cell_angle_gamma 60.00
loop_
_symmetry_equiv_pos_as_xyz
'x,y,z'
loop_
_atom_site_label
_atom_site_fract_x
_atom_site_fract_y
_atom_site_fract_z
_atom_site_occupancy
Pm1 0.0000 0.0000 0.0000 1
Gd1 0.5000 0.5000 0.5000 1
Ga1 0.7500 0.7500 0.7500 1
Au1 0.2500 0.2500 0.2500 1
```

A relaxed structure of LiSm2Th. Source: the Alexandria database, functional GGA-PBE.

Results
Mass density: 7.5 g cm⁻³
Calculated volume: 29.93 Å³ per atom
Space-group type: No. 123
Formation enthalpy at 0 K: 0.05 eV/atom
E above lowest polymorph: 0.000 eV/atom

Geometry as CIF:
```
data_LiSm2Th
_symmetry_space_group_name_H-M 'P 1'
_symmetry_Int_Tables_number 1
_cell_length_a 3.6580
_cell_length_b 3.6580
_cell_length_c 8.9472
_cell_angle_alpha 90.00
_cell_angle_beta 90.00
_cell_angle_gamma 90.00
loop_
_symmetry_equiv_pos_as_xyz
'x,y,z'
loop_
_atom_site_label
_atom_site_fract_x
_atom_site_fract_y
_atom_site_fract_z
_atom_site_occupancy
Li1 0.0000 0.0000 0.0000 1
Sm1 0.5000 0.5000 0.2360 1
Sm2 0.5000 0.5000 0.7640 1
Th1 0.0000 0.0000 0.5000 1
```

A relaxed structure of Y2Ni3P4Pd. Source: the Alexandria database, functional GGA-PBE.

Results
Mass density: 6.4 g cm⁻³
Calculated volume: 15.10 Å³ per atom
Space-group type: No. 115
Formation enthalpy at 0 K: -0.97 eV/atom

Geometry as CIF:
```
data_Y2Ni3P4Pd
_symmetry_space_group_name_H-M 'P 1'
_symmetry_Int_Tables_number 1
_cell_length_a 4.0563
_cell_length_b 4.0563
_cell_length_c 9.1760
_cell_angle_alpha 90.00
_cell_angle_beta 90.00
_cell_angle_gamma 90.00
loop_
_symmetry_equiv_pos_as_xyz
'x,y,z'
loop_
_atom_site_label
_atom_site_fract_x
_atom_site_fract_y
_atom_site_fract_z
_atom_site_occupancy
Y1 0.0000 0.5000 0.2407 1
Y2 0.5000 0.0000 0.7593 1
Ni1 0.0000 0.5000 0.8874 1
Ni2 0.5000 0.0000 0.1126 1
Ni3 0.5000 0.5000 0.5000 1
P1 0.0000 0.0000 0.0000 1
P2 0.0000 0.5000 0.6414 1
P3 0.5000 0.0000 0.3586 1
P4 0.5000 0.5000 0.0000 1
Pd1 0.0000 0.0000 0.5000 1
```

Q: The highest mass density belongs to which entry?
A: PmGdGaAu